[1]
! Tl2InGe2 (PBE, optimized geometry); values from VASP
! Energy above the lowest structure with this stoichiometry: 0.00 kcal/mol of atoms
! Symmetry: P4/mbm, No. 127
&SYSTEM
  ibrav = 0, nat = 10, ntyp = 3
/
ATOMIC_SPECIES
Ge 72.64 Ge.upf
Tl 204.38 Tl.upf
In 114.82 In.upf
CELL_PARAMETERS angstrom
-0.740 2.193 6.834
-7.045 -1.534 -0.270
0.975 -4.765 1.635
ATOMIC_POSITIONS angstrom
Ge -5.044 0.964 5.818
Ge -6.449 -0.519 2.333
Ge -1.335 1.178 4.231
Ge -2.741 -0.305 0.746
Tl -0.999 -1.946 2.976
Tl -4.414 -3.033 1.845
Tl -5.810 -2.160 5.222
Tl -2.396 -1.073 6.353
In -3.892 0.329 3.282
In 0.000 0.000 0.000


[2]
! Tl2In2Ge (PBE, optimized geometry); values from VASP
! Energy above the lowest structure with this stoichiometry: 3.83 kcal/mol of atoms
! Symmetry: I4/mmm, No. 139
&SYSTEM
  ibrav = 0, nat = 5, ntyp = 3
/
ATOMIC_SPECIES
In 114.82 In.upf
Ge 72.64 Ge.upf
Tl 204.38 Tl.upf
CELL_PARAMETERS angstrom
4.105 0.000 0.000
0.000 4.105 0.000
2.052 2.052 8.810
ATOMIC_POSITIONS angstrom
In 2.052 4.105 4.405
In 4.105 2.052 4.405
Ge 0.000 0.000 0.000
Tl 2.052 2.052 1.625
Tl 4.105 4.105 7.185


[3]
! TlIn2Ge (PBE, optimized geometry); values from VASP
! Symmetry: R-3m, No. 166
&SYSTEM
  ibrav = 0, nat = 4, ntyp = 3
/
ATOMIC_SPECIES
In 114.82 In.upf
Tl 204.38 Tl.upf
Ge 72.64 Ge.upf
CELL_PARAMETERS angstrom
4.332 0.000 0.000
2.166 3.752 0.000
2.166 1.251 6.951
ATOMIC_POSITIONS angstrom
In 6.498 3.752 5.577
In 2.166 1.251 1.374
Tl 4.332 2.501 3.475
Ge 0.000 0.000 0.000


[4]
! TlIn2Ge (PBE, optimized geometry); values from VASP
! Symmetry: R3m, No. 160
&SYSTEM
  ibrav = 0, nat = 4, ntyp = 3
/
ATOMIC_SPECIES
Tl 204.38 Tl.upf
In 114.82 In.upf
Ge 72.64 Ge.upf
CELL_PARAMETERS angstrom
-3.847 -1.866 0.961
-0.133 -3.553 2.563
-1.908 2.326 6.872
ATOMIC_POSITIONS angstrom
Tl -2.941 -1.568 5.168
In -1.437 -1.020 2.259
In -1.800 1.556 5.810
Ge -2.654 -3.607 2.357


[5]
! Tl2InGe2 (PBE, optimized geometry); values from VASP
! Energy above the lowest structure with this stoichiometry: 3.50 kcal/mol of atoms
! Symmetry: P4/mbm, No. 127
&SYSTEM
  ibrav = 0, nat = 10, ntyp = 3
/
ATOMIC_SPECIES
Tl 204.38 Tl.upf
Ge 72.64 Ge.upf
In 114.82 In.upf
CELL_PARAMETERS angstrom
-1.523 -4.650 7.329
-4.245 -6.091 -4.747
2.914 -1.675 -0.457
ATOMIC_POSITIONS angstrom
Tl -4.160 -6.839 -1.461
Tl -4.045 -7.907 3.183
Tl -1.608 -3.901 4.043
Tl -1.723 -2.834 -0.601
Ge -1.529 -5.492 -2.215
Ge 0.288 -3.378 1.627
Ge -3.142 -9.037 0.498
Ge -1.324 -6.924 4.340
In -2.884 -5.370 1.291
In 0.000 0.000 0.000


[6]
! TlInGe (PBE, optimized geometry); values from VASP
! Energy above the lowest structure with this stoichiometry: 1.16 kcal/mol of atoms
! Symmetry: F-43m, No. 216
&SYSTEM
  ibrav = 0, nat = 3, ntyp = 3
/
ATOMIC_SPECIES
Ge 72.64 Ge.upf
Tl 204.38 Tl.upf
In 114.82 In.upf
CELL_PARAMETERS angstrom
-1.019 -4.288 -2.262
3.357 -3.643 -0.030
-0.764 -4.094 2.682
ATOMIC_POSITIONS angstrom
Ge 0.394 -3.006 0.097
Tl 0.787 -6.013 0.195
In 0.000 0.000 0.000


Number 1: uncorrected energy -3.195 eV per atom. Number 2: uncorrected energy -2.679 eV per atom. Number 3: uncorrected energy -2.999 eV per atom. Number 4: uncorrected energy -3.004 eV per atom. Number 5: uncorrected energy -3.043 eV per atom. Number 6: uncorrected energy -3.087 eV per atom.